Entry 1:
VASP calculation (PBE) on SrTl3Cu2Cl9 after structural relaxation.

Its symmetry is P-3m1 (164).

Unit cell a=7.1149 b=7.1149 c=9.3584 alpha=90.00 beta=90.00 gamma=120.00
Last column: nearest neighbours and their distance in Å.
Positions (direct):
Sr  0.0000  0.0000  0.0000  6 Cl 2.85
Tl  0.0000  0.0000  0.5000  12 Cl 3.50-3.56
Tl  0.3333  0.6667  0.2281  9 Cl 3.27-3.57
Tl  0.6667  0.3333  0.7719  9 Cl 3.27-3.57
Cu  0.3333  0.6667  0.6542  6 Cl 2.39-2.51
Cu  0.6667  0.3333  0.3458  6 Cl 2.39-2.51
Cl  0.0000  0.5000  0.5000  2 Cu 2.51
Cl  0.1726  0.3452  0.7972  1 Cu 2.39
Cl  0.1726  0.8274  0.7972  1 Cu 2.39
Cl  0.3452  0.1726  0.2028  1 Cu 2.39
Cl  0.5000  0.0000  0.5000  2 Cu 2.51
Cl  0.5000  0.5000  0.5000  2 Cu 2.51
Cl  0.6548  0.8274  0.7972  1 Cu 2.39
Cl  0.8274  0.1726  0.2028  1 Cu 2.39
Cl  0.8274  0.6548  0.2028  1 Cu 2.39

Entry 2:
VASP calculation (PBE) on SrTlCuCl4 after structural relaxation.

Its symmetry is P2_1/m (11).

Unit cell a=6.7666 b=6.9602 c=8.8147 alpha=90.00 beta=108.78 gamma=90.00
Last column: nearest neighbours and their distance in Å.
Positions (direct):
Sr  0.2308  0.2500  0.0555  6 Cl 2.89-2.98
Sr  0.7692  0.7500  0.9445  6 Cl 2.89-2.98
Tl  0.2617  0.2500  0.5645  6 Cl 3.13-3.50
Tl  0.7383  0.7500  0.4355  6 Cl 3.13-3.50
Cu  0.2228  0.7500  0.8079  4 Cl 2.28-2.38
Cu  0.7772  0.2500  0.1921  4 Cl 2.28-2.38
Cl  0.0107  0.5046  0.2191  1 Cu 2.33
Cl  0.0107  0.9954  0.2191  1 Cu 2.33
Cl  0.4231  0.7500  0.6433  1 Cu 2.28
Cl  0.4343  0.7500  0.0821  1 Cu 2.38
Cl  0.5657  0.2500  0.9179  1 Cu 2.38
Cl  0.5769  0.2500  0.3567  1 Cu 2.28
Cl  0.9893  0.0046  0.7809  1 Cu 2.33
Cl  0.9893  0.4954  0.7809  1 Cu 2.33

Entry 3:
VASP calculation (PBE) on SrZnCuCl2 after structural relaxation.

Its symmetry is P4/mmm (123).

Unit cell a=4.7857 b=4.7857 c=5.9732 alpha=90.00 beta=90.00 gamma=90.00
Last column: nearest neighbours and their distance in Å.
Positions (direct):
Sr  0.0000  0.0000  0.0000  2 Cu 2.99
Zn  0.5000  0.5000  0.0000  4 Sr 3.38
Cu  0.0000  0.0000  0.5000  4 Cl 2.39
Cl  0.0000  0.5000  0.5000  2 Cu 2.39
Cl  0.5000  0.0000  0.5000  2 Cu 2.39

no.,ΔE_f (raw) (eV/atom),electronic total energy (eV for the cell shown)
1,-1.041,-49.2
2,-1.461,-51.5
3,-0.395,-12.7